# 1
Mn4Ir3 | PBE | optimized geometry

Calculated values
energy relative to the elements	0.013	eV/atom
excess energy over the best structure of this formula in the dataset	0.000	eV/atom

a b c (Å): 2.8000 2.8000 23.8612
angles (deg): 90.00 90.00 90.00
Space group I4/mmm (No. 139)
Asymmetric unit:
1 Mn 0.0000 0.0000 0.0712 x4
2 Mn 0.0000 0.0000 0.3600 x4
3 Ir 0.0000 0.0000 0.2079 x4
4 Ir 0.0000 0.0000 0.5000 x2

---

# 2
Np2Zn15Pt2 | PBE | optimized geometry

Calculated values
energy relative to the elements	-0.164	eV/atom

a b c (Å): 9.0186 9.0186 13.1030
angles (deg): 90.00 90.00 120.00
Space group R-3m (No. 166, hexagonal axes)
Asymmetric unit:
1 Np 0.0000 0.0000 0.1598 x6
2 Zn 0.0000 0.2864 0.5000 x18
3 Zn 0.0000 0.5000 0.0000 x9
4 Zn 0.0060 0.5030 0.6494 x18
5 Pt 0.0000 0.0000 0.3835 x6

---

# 3
HgAs2CBr | PBE | optimized geometry

Calculated values
excess energy over the best structure of this formula in the dataset	1.043	eV/atom
E_form (uncorrected)	2174	meV/atom

a b c (Å): 5.2724 5.2724 5.5564
angles (deg): 90.00 90.00 90.00
Space group P4/mmm (No. 123)
Asymmetric unit:
1 Hg 0.0000 0.0000 0.0000 x1
2 As 0.0000 0.5000 0.0000 x2
3 C 0.5000 0.5000 0.5000 x1
4 Br 0.0000 0.0000 0.5000 x1

---

# 4
Ba2TeI | PBE | optimized geometry

Calculated values
excess energy over the best structure of this formula in the dataset	0.113	eV/atom
E_form (uncorrected)	-1464	meV/atom

a b c (Å): 8.5063 8.5063 8.5063
angles (deg): 90.00 90.00 90.00
Space group Fm-3m (No. 225)
Asymmetric unit:
1 Ba 0.2500 0.2500 0.2500 x8
2 Te 0.0000 0.0000 0.0000 x4
3 I 0.0000 0.0000 0.5000 x4

---

# 5
CaReBr2 | PBE | optimized geometry

Calculated values
excess energy over the best structure of this formula in the dataset	0.381	eV/atom
E_form (uncorrected)	347	meV/atom

a b c (Å): 4.8024 4.8024 3.4353
angles (deg): 90.00 90.00 90.00
Space group P4/mmm (No. 123)
Asymmetric unit:
1 Ca 0.0000 0.0000 0.0000 x1
2 Re 0.5000 0.5000 0.0000 x1
3 Br 0.0000 0.5000 0.5000 x2

---

# 6
HoTh4Sc4 | PBE | optimized geometry

Calculated values
energy relative to the elements	0.049	eV/atom

a b c (Å): 10.3539 10.3539 4.8234
angles (deg): 90.00 90.00 90.00
Space group I4/mmm (No. 139)
Asymmetric unit:
1 Ho 0.0000 0.0000 0.0000 x2
2 Th 0.1684 0.1684 0.5000 x8
3 Sc 0.0000 0.3384 0.0000 x8

---

no.,mass density (g/cm3),D(E_F) (states/eV/atom),E_tot (eV for the cell shown)
1,14.14,1.091,-126.3
2,9.96,1.217,-180.5
3,4.76,1.028,-9.6
4,5.71,0.616,-57.6
5,8.09,1.001,-16.4
6,8.18,1.549,-118.3